(1)
A plane-wave DFT calculation with GGA-PBE was carried out for a relaxed structure of BePt2Rh.

```
BePt2Rh
1.0
2.748 0.000 0.000
-1.374 2.380 0.000
0.000 0.000 25.034
Be Pt Rh
3 6 3
Cartesian
0.000 0.000 0.000
0.000 1.587 16.689
1.374 0.793 8.345
0.000 0.000 6.541
0.000 0.000 18.492
0.000 1.587 10.148
0.000 1.587 23.231
1.374 0.793 1.803
1.374 0.793 14.886
0.000 0.000 12.517
0.000 1.587 4.172
1.374 0.793 20.861
```

For the energy, the calculation gives -73.072 eV/cell. The energy relative to the elements comes out at -1.2 eV/f.u.

---

(2)
A plane-wave DFT calculation with GGA-PBE was carried out for a relaxed structure of LaIrF2.

```
LaIrF2
1.0
6.414 0.000 0.000
0.000 6.414 0.000
0.000 0.000 6.414
La Ir F
4 4 8
Cartesian
0.000 0.000 0.000
0.000 3.207 3.207
3.207 0.000 3.207
3.207 3.207 0.000
0.000 0.000 3.207
0.000 3.207 0.000
3.207 0.000 0.000
3.207 3.207 3.207
1.604 1.604 1.604
1.604 1.604 4.811
1.604 4.811 1.604
1.604 4.811 4.811
4.811 1.604 1.604
4.811 1.604 4.811
4.811 4.811 1.604
4.811 4.811 4.811
```

The formation energy from raw total energies comes out at -1.4055 eV/atom. For the energy, the calculation gives -92.613 eV/cell. The offset from the most stable computed form comes out at 257 meV per atom.

---

(3)
A plane-wave DFT calculation with GGA-PBE was carried out for a relaxed structure of CrNiTe2I.

```
CrNiTe2I
1.0
5.061 0.000 0.000
0.000 5.061 0.000
0.000 0.000 5.359
Cr Ni Te I
1 1 2 1
Cartesian
0.000 0.000 0.000
2.530 2.530 2.679
0.000 2.530 2.679
2.530 0.000 2.679
2.530 2.530 0.000
```

The formation energy from raw total energies comes out at 0.5493 eV/atom. For the energy, the calculation gives -20.492 eV/cell. The offset from the most stable computed form comes out at 0 meV per atom.

---

(4)
A plane-wave DFT calculation with GGA-PBE was carried out for a relaxed structure of TaNiAg2Pb.

```
TaNiAg2Pb
1.0
5.131 0.000 0.000
0.000 5.131 0.000
0.000 0.000 5.454
Ta Ni Ag Pb
1 1 2 1
Cartesian
0.000 0.000 0.000
2.566 2.566 2.727
0.000 2.566 0.000
2.566 0.000 0.000
0.000 0.000 2.727
```

For the energy, the calculation gives -18.650 eV/cell. The energy relative to the elements comes out at 8.4 eV/f.u. The offset from the most stable computed form comes out at 522 meV per atom.

---

(5)
A plane-wave DFT calculation with GGA-PBE was carried out for a relaxed structure of La2DyErP4.

```
La2DyErP4
1.0
7.153 0.000 0.000
0.000 4.135 0.000
-2.385 0.000 6.748
La Dy Er P
2 1 1 4
Cartesian
0.000 0.000 0.000
-1.192 2.067 3.374
2.384 0.000 3.374
3.577 2.067 0.000
0.095 0.000 5.102
1.288 2.067 1.713
4.673 0.000 1.645
3.480 2.067 5.035
```

For the energy, the calculation gives -53.283 eV/cell. The energy relative to the elements comes out at -12.6 eV/f.u.

---

(6)
A plane-wave DFT calculation with GGA-PBE was carried out for a relaxed structure of GaIr2Os.

```
GaIr2Os
1.0
2.772 0.000 0.000
0.000 2.772 0.000
0.000 0.000 7.541
Ga Ir Os
1 2 1
Cartesian
0.000 0.000 0.000
1.386 1.386 1.901
1.386 1.386 5.639
0.000 0.000 3.770
```

For the energy, the calculation gives -32.432 eV/cell. The energy relative to the elements comes out at -0.5 eV/f.u. The offset from the most stable computed form comes out at 0 meV per atom.

---

(7)
A plane-wave DFT calculation with GGA-PBE was carried out for a relaxed structure of RbCd3Ga3.

```
RbCd3Ga3
1.0
7.693 0.000 0.000
0.000 7.693 0.000
0.000 0.000 7.693
Rb Cd Ga
2 6 6
Cartesian
0.000 0.000 0.000
3.847 3.847 3.847
0.000 1.923 3.847
0.000 5.770 3.847
1.923 3.847 0.000
3.847 0.000 1.923
3.847 0.000 5.770
5.770 3.847 0.000
0.000 3.847 1.923
0.000 3.847 5.770
1.923 0.000 3.847
3.847 1.923 0.000
3.847 5.770 0.000
5.770 0.000 3.847
```

For the energy, the calculation gives -23.660 eV/cell. The energy relative to the elements comes out at 1.0 eV/f.u.

---

(8)
A plane-wave DFT calculation with GGA-PBE was carried out for a relaxed structure of LiPr2Pu.

```
LiPr2Pu
1.0
3.444 0.000 0.000
-1.722 2.983 0.000
0.000 0.000 36.650
Li Pr Pu
3 6 3
Cartesian
0.000 0.000 0.000
0.000 1.989 24.434
1.722 0.994 12.217
0.000 0.000 15.016
0.000 0.000 21.634
0.000 1.989 2.800
0.000 1.989 9.417
1.722 0.994 27.233
1.722 0.994 33.851
0.000 0.000 18.325
0.000 1.989 6.108
1.722 0.994 30.542
```

For the energy, the calculation gives -73.252 eV/cell. The energy relative to the elements comes out at 1.4 eV/f.u. The offset from the most stable computed form comes out at 191 meV per atom.

---

(9)
A plane-wave DFT calculation with GGA-PBE was carried out for a relaxed structure of CdIn2Rh.

```
CdIn2Rh
1.0
3.023 0.000 0.000
0.000 4.528 0.000
0.000 0.000 12.880
Cd In Rh
2 4 2
Cartesian
0.000 0.000 0.000
1.512 2.264 6.440
0.000 0.000 8.075
0.000 2.264 10.560
1.512 0.000 4.120
1.512 2.264 1.635
0.000 2.264 3.989
1.512 0.000 10.428
```

For the energy, the calculation gives -29.104 eV/cell. The energy relative to the elements comes out at -0.8 eV/f.u.

---

(10)
A plane-wave DFT calculation with GGA-PBE was carried out for a relaxed structure of Mo2RuW.

```
Mo2RuW
1.0
2.743 0.000 0.000
0.000 2.743 0.000
0.000 0.000 8.323
Mo Ru W
2 1 1
Cartesian
0.000 0.000 0.000
1.371 1.371 2.251
0.000 0.000 4.159
1.371 1.371 6.083
```

For the energy, the calculation gives -43.212 eV/cell. The energy relative to the elements comes out at 0.7 eV/f.u. The offset from the most stable computed form comes out at 60 meV per atom.

---

(11)
A plane-wave DFT calculation with GGA-PBE was carried out for a relaxed structure of NpFeSnIr.

```
NpFeSnIr
1.0
6.580 0.000 0.000
0.000 6.580 0.000
0.000 0.000 6.580
Np Fe Sn Ir
4 4 4 4
Cartesian
0.000 0.000 0.000
0.000 3.290 3.290
3.290 0.000 3.290
3.290 3.290 0.000
1.645 1.645 4.935
1.645 4.935 1.645
4.935 1.645 1.645
4.935 4.935 4.935
0.000 0.000 3.290
0.000 3.290 0.000
3.290 0.000 0.000
3.290 3.290 3.290
1.645 1.645 1.645
1.645 4.935 4.935
4.935 1.645 4.935
4.935 4.935 1.645
```

For the energy, the calculation gives -137.215 eV/cell. The energy relative to the elements comes out at 0.0 eV/f.u.

---

(12)
A plane-wave DFT calculation with GGA-PBE was carried out for a relaxed structure of KSrCeI6.

```
KSrCeI6
1.0
8.318 0.000 0.000
-4.159 7.203 0.000
0.000 0.000 15.441
K Sr Ce I
2 2 2 12
Cartesian
0.000 0.000 0.000
0.000 0.000 7.721
0.000 4.802 3.860
4.159 2.401 11.581
0.000 4.802 11.581
4.159 2.401 3.860
-1.422 2.653 9.751
-2.572 4.646 13.411
1.422 2.653 13.411
-1.151 7.108 9.751
3.008 0.095 2.030
1.587 2.558 5.690
2.572 4.646 9.751
1.151 7.108 13.411
5.309 0.095 5.690
2.737 4.551 2.030
6.731 2.558 2.030
5.580 4.551 5.690
```

The formation energy from raw total energies comes out at -1.5004 eV/atom. For the energy, the calculation gives -63.034 eV/cell.

---

(13)
A plane-wave DFT calculation with GGA-PBE was carried out for a relaxed structure of LiSn2P.

```
LiSn2P
1.0
3.697 0.000 0.000
-1.848 3.201 0.000
0.000 0.000 26.532
Li Sn P
3 6 3
Cartesian
0.000 0.000 0.000
0.000 2.134 17.688
1.848 1.067 8.844
0.000 0.000 2.724
0.000 0.000 23.809
0.000 2.134 14.964
0.000 2.134 20.412
1.848 1.067 6.120
1.848 1.067 11.568
0.000 0.000 13.266
0.000 2.134 4.422
1.848 1.067 22.110
```

For the energy, the calculation gives -45.416 eV/cell. The energy relative to the elements comes out at 0.2 eV/f.u.

---

(14)
A plane-wave DFT calculation with GGA-PBE was carried out for a relaxed structure of Mn2ZnPd6.

```
Mn2ZnPd6
1.0
-2.101 2.960 6.206
2.101 -2.960 6.206
2.101 2.960 -6.206
Mn Zn Pd
2 1 6
Cartesian
0.000 0.000 2.057
0.000 0.000 10.354
0.000 0.000 6.206
2.101 1.474 -2.063
0.000 1.506 0.000
2.101 1.474 2.063
0.000 1.486 4.143
0.000 4.414 0.000
0.000 1.486 8.268
```

For the energy, the calculation gives -50.904 eV/cell. The energy relative to the elements comes out at -0.1 eV/f.u.

---

(15)
A plane-wave DFT calculation with GGA-PBE was carried out for a relaxed structure of Y4OsO10.

```
Y4OsO10
1.0
-4.189 4.189 2.674
4.189 -4.189 2.674
4.189 4.189 -2.674
Y Os O
4 1 10
Cartesian
5.833 0.814 0.000
0.814 2.546 0.000
3.375 1.643 2.674
-1.643 3.375 2.674
0.000 0.000 2.674
4.993 2.691 -1.203
2.691 3.386 -1.203
4.189 0.000 1.337
1.499 0.804 1.470
-0.804 1.499 1.470
4.993 2.691 1.203
2.691 3.386 1.203
0.000 4.189 1.337
1.499 0.804 3.877
-0.804 1.499 3.877
```

The formation energy from raw total energies comes out at -2.4161 eV/atom. For the energy, the calculation gives -122.910 eV/cell.

---

(16)
A plane-wave DFT calculation with GGA-PBE was carried out for a relaxed structure of HoThTe2.

```
HoThTe2
1.0
5.362 0.000 0.000
0.000 5.362 0.000
0.000 0.000 3.833
Ho Th Te
1 1 2
Cartesian
0.000 0.000 0.000
2.681 2.681 0.000
0.000 2.681 1.917
2.681 0.000 1.917
```

The formation energy from raw total energies comes out at -1.1230 eV/atom. For the energy, the calculation gives -22.773 eV/cell. The offset from the most stable computed form comes out at 23 meV per atom.

---

(17)
A plane-wave DFT calculation with GGA-PBE was carried out for a relaxed structure of HfMg4Hg5.

```
HfMg4Hg5
1.0
3.478 0.000 0.000
0.000 3.478 0.000
0.000 0.000 17.438
Hf Mg Hg
1 4 5
Cartesian
0.000 0.000 0.000
0.000 0.000 3.508
0.000 0.000 6.968
0.000 0.000 10.470
0.000 0.000 13.930
1.739 1.739 1.799
1.739 1.739 5.227
1.739 1.739 8.719
1.739 1.739 12.212
1.739 1.739 15.639
```

For the energy, the calculation gives -19.495 eV/cell. The energy relative to the elements comes out at -1.7 eV/f.u.

---

(18)
A plane-wave DFT calculation with GGA-PBE was carried out for a relaxed structure of Pr3Er6Tm.

```
Pr3Er6Tm
1.0
5.757 -3.274 0.000
5.757 3.274 0.000
-4.103 0.000 8.806
Pr Er Tm
3 6 1
Cartesian
0.000 0.000 0.000
-2.038 0.000 6.174
9.449 0.000 2.632
0.813 1.612 6.043
3.883 0.000 0.700
6.598 1.612 2.763
0.813 -1.612 6.043
3.529 0.000 8.106
6.598 -1.612 2.763
3.706 0.000 4.403
```

For the energy, the calculation gives -43.913 eV/cell. The energy relative to the elements comes out at 2.3 eV/f.u. The offset from the most stable computed form comes out at 75 meV per atom.

---

(19)
A plane-wave DFT calculation with GGA-PBE was carried out for a relaxed structure of Li3Ag2Sn4.

```
Li3Ag2Sn4
1.0
4.149 -2.394 0.000
4.149 2.394 0.000
-0.017 0.000 9.488
Li Ag Sn
3 2 4
Cartesian
0.000 0.000 0.000
2.754 0.000 4.194
5.526 0.000 5.295
2.759 0.000 7.053
5.521 0.000 2.435
-0.006 0.000 6.250
2.763 0.000 0.948
5.517 0.000 8.540
8.286 0.000 3.238
```

For the energy, the calculation gives -29.054 eV/cell. The energy relative to the elements comes out at -1.6 eV/f.u. The offset from the most stable computed form comes out at 13 meV per atom.

---

(20)
A plane-wave DFT calculation with GGA-PBE was carried out for a relaxed structure of Sb2RuPb.

```
Sb2RuPb
1.0
3.252 0.000 0.000
0.000 5.007 0.000
0.000 0.000 12.069
Sb Ru Pb
4 2 2
Cartesian
0.000 0.000 2.212
0.000 0.000 9.857
1.626 2.504 3.822
1.626 2.504 8.247
0.000 2.504 6.035
1.626 0.000 0.000
0.000 2.504 0.000
1.626 0.000 6.035
```

The formation energy from raw total energies comes out at 0.1886 eV/atom. For the energy, the calculation gives -40.949 eV/cell.

---

(21)
A plane-wave DFT calculation with GGA-PBE was carried out for a relaxed structure of AcCeTmAl.

```
AcCeTmAl
1.0
7.761 0.000 0.000
0.000 7.761 0.000
0.000 0.000 7.761
Ac Ce Tm Al
4 4 4 4
Cartesian
0.000 0.000 0.000
0.000 3.881 3.881
3.881 0.000 3.881
3.881 3.881 0.000
1.940 1.940 5.821
1.940 5.821 1.940
5.821 1.940 1.940
5.821 5.821 5.821
1.940 1.940 1.940
1.940 5.821 5.821
5.821 1.940 5.821
5.821 5.821 1.940
0.000 0.000 3.881
0.000 3.881 0.000
3.881 0.000 0.000
3.881 3.881 3.881
```

For the energy, the calculation gives -71.239 eV/cell. The energy relative to the elements comes out at 0.4 eV/f.u.

---

(22)
A plane-wave DFT calculation with GGA-PBE was carried out for a relaxed structure of BPd3Pb.

```
BPd3Pb
1.0
5.095 0.000 0.000
0.000 5.095 0.000
0.000 0.000 5.095
B Pd Pb
1 3 1
Cartesian
0.000 0.000 0.000
0.000 2.548 2.548
2.548 0.000 2.548
2.548 2.548 0.000
2.548 2.548 2.548
```

For the energy, the calculation gives -17.529 eV/cell. The energy relative to the elements comes out at 8.4 eV/f.u. The offset from the most stable computed form comes out at 1831 meV per atom.

---

(23)
A plane-wave DFT calculation with GGA-PBE was carried out for a relaxed structure of NdYErTh.

```
NdYErTh
1.0
8.068 0.000 0.000
0.000 8.068 0.000
0.000 0.000 8.068
Nd Y Er Th
4 4 4 4
Cartesian
0.000 0.000 0.000
0.000 4.034 4.034
4.034 0.000 4.034
4.034 4.034 0.000
2.017 2.017 2.017
2.017 6.051 6.051
6.051 2.017 6.051
6.051 6.051 2.017
2.017 2.017 6.051
2.017 6.051 2.017
6.051 2.017 2.017
6.051 6.051 6.051
0.000 0.000 4.034
0.000 4.034 0.000
4.034 0.000 0.000
4.034 4.034 4.034
```

For the energy, the calculation gives -90.742 eV/cell. The energy relative to the elements comes out at 0.5 eV/f.u. The offset from the most stable computed form comes out at 118 meV per atom.

---

(24)
A plane-wave DFT calculation with GGA-PBE was carried out for a relaxed structure of Pm3TlOs.

```
Pm3TlOs
1.0
5.500 0.000 0.000
0.000 5.500 0.000
0.000 0.000 5.500
Pm Tl Os
3 1 1
Cartesian
0.000 0.000 2.750
0.000 2.750 0.000
2.750 0.000 0.000
2.750 2.750 2.750
0.000 0.000 0.000
```

For the energy, the calculation gives -27.915 eV/cell. The energy relative to the elements comes out at -0.1 eV/f.u. The offset from the most stable computed form comes out at 212 meV per atom.

---

(25)
A plane-wave DFT calculation with GGA-PBE was carried out for a relaxed structure of HfTa.

```
HfTa
1.0
10.154 0.000 0.000
-5.077 8.793 0.000
0.000 0.000 2.934
Hf Ta
6 6
Cartesian
-0.905 2.608 0.733
-2.366 8.273 0.733
1.806 2.088 2.200
3.271 6.706 0.733
7.443 0.520 2.200
5.982 6.186 2.200
-1.649 5.429 0.733
1.200 4.650 0.733
0.450 7.507 0.733
4.627 1.286 2.200
3.877 4.143 2.200
6.726 3.364 2.200
```

For the energy, the calculation gives -124.866 eV/cell. The energy relative to the elements comes out at 1.0 eV/f.u.

---

(26)
A plane-wave DFT calculation with GGA-PBE was carried out for a relaxed structure of VZnCd2Ag.

```
VZnCd2Ag
1.0
5.107 0.000 0.000
0.000 5.107 0.000
0.000 0.000 4.759
V Zn Cd Ag
1 1 2 1
Cartesian
0.000 0.000 0.000
2.553 2.553 0.000
0.000 2.553 2.379
2.553 0.000 2.379
2.553 2.553 2.379
```

For the energy, the calculation gives -9.804 eV/cell. The energy relative to the elements comes out at 5.3 eV/f.u.